1.
First-principles (PBE-GGA) data for crystalline Cs2RbTcPt at its relaxed geometry, as listed in Alexandria via LeMat-Bulk.

The value obtained for the calculated volume is 245 Å³ per cell. The value obtained for the density is 4.37 g/cm3. As for the raw total energy: -3.074 eV per atom. The magnetization is 2.83 μB/cell.

The structure belongs to space group P4/mmm (No. 123); the cell edges are 7.0226, 7.0226 and 4.9626 Å and the angles 90.00°, 90.00° and 90.00°. The distinct sites, in fractional coordinates, are Cs at (0.0000, 0.5000, 0.0000), Rb at (0.0000, 0.0000, 0.5000), Tc at (0.5000, 0.5000, 0.5000) and Pt at (0.5000, 0.5000, 0.0000).


2.
First-principles (PBE-GGA) data for crystalline Cs2RbTl6Pt at its relaxed geometry, as listed in Alexandria via LeMat-Bulk.

The value obtained for the calculated volume is 2470 Å³ per cell. The value obtained for the density is 7.15 g/cm3. As for the raw total energy: -2.343 eV per atom. The magnetization is 0.00 μB/cell.

The structure belongs to space group R-3m (No. 166, hexagonal axes); the cell edges are 7.8591, 7.8591 and 46.1689 Å and the angles 90.00°, 90.00° and 120.00°. The distinct sites, in fractional coordinates, are Cs at (0.0000, 0.0000, 0.1019), Cs at (0.0000, 0.0000, 0.2743), Rb at (0.0000, 0.0000, 0.4247), Tl at (0.0511, 0.5255, 0.3100), Tl at (0.0626, 0.5313, 0.8549), Pt at (0.0000, 0.0000, 0.0000) and Pt at (0.0000, 0.0000, 0.5000).


3.
First-principles (PBE-GGA) data for crystalline Cs2RbTlPt at its relaxed geometry, as listed in Alexandria via LeMat-Bulk.

The value obtained for the calculated volume is 290 Å³ per cell. The value obtained for the density is 4.30 g/cm3. Its offset from the most stable computed form is 0.985 eV/f.u. The magnetization is 1.95 μB/cell.

The structure belongs to space group P4/mmm (No. 123); the cell edges are 6.6912, 6.6912 and 6.4764 Å and the angles 90.00°, 90.00° and 90.00°. The distinct sites, in fractional coordinates, are Cs at (0.0000, 0.5000, 0.0000), Rb at (0.0000, 0.0000, 0.5000), Tl at (0.5000, 0.5000, 0.5000) and Pt at (0.0000, 0.0000, 0.0000).


4.
First-principles (PBE-GGA) data for crystalline CsRb2TlPt at its relaxed geometry, as listed in Alexandria via LeMat-Bulk.

The value obtained for the calculated volume is 260 Å³ per cell. The value obtained for the density is 4.49 g/cm3. Its offset from the most stable computed form is 0.729 eV/f.u. The magnetization is 0.00 μB/cell.

The structure belongs to space group P4/mmm (No. 123); the cell edges are 7.0080, 7.0080 and 5.2937 Å and the angles 90.00°, 90.00° and 90.00°. The distinct sites, in fractional coordinates, are Cs at (0.0000, 0.0000, 0.0000), Rb at (0.0000, 0.5000, 0.5000), Tl at (0.5000, 0.5000, 0.5000) and Pt at (0.5000, 0.5000, 0.0000).


5.
First-principles (PBE-GGA) data for crystalline CsRb2TlPt at its relaxed geometry, as listed in Alexandria via LeMat-Bulk.

The value obtained for the calculated volume is 244 Å³ per cell. The value obtained for the density is 4.79 g/cm3. Its offset from the most stable computed form is 0.000 eV/f.u. The magnetization is 0.00 μB/cell.

The structure belongs to space group P4/mmm (No. 123); the cell edges are 6.7154, 6.7154 and 5.4055 Å and the angles 90.00°, 90.00° and 90.00°. The distinct sites, in fractional coordinates, are Cs at (0.0000, 0.0000, 0.0000), Rb at (0.0000, 0.5000, 0.5000), Tl at (0.5000, 0.5000, 0.0000) and Pt at (0.5000, 0.5000, 0.5000).


6.
First-principles (PBE-GGA) data for crystalline Cs2RbTlPt at its relaxed geometry, as listed in Alexandria via LeMat-Bulk.

The value obtained for the calculated volume is 263 Å³ per cell. The value obtained for the density is 4.74 g/cm3. Its offset from the most stable computed form is 0.000 eV/f.u. The magnetization is 0.00 μB/cell.

The structure belongs to space group P4/mmm (No. 123); the cell edges are 6.9678, 6.9678 and 5.4124 Å and the angles 90.00°, 90.00° and 90.00°. The distinct sites, in fractional coordinates, are Cs at (0.0000, 0.5000, 0.0000), Rb at (0.0000, 0.0000, 0.5000), Tl at (0.5000, 0.5000, 0.5000) and Pt at (0.5000, 0.5000, 0.0000).


7.
First-principles (PBE-GGA) data for crystalline CsRb2TlPt at its relaxed geometry, as listed in Alexandria via LeMat-Bulk.

The value obtained for the calculated volume is 280 Å³ per cell. The value obtained for the density is 4.18 g/cm3. Its offset from the most stable computed form is 1.071 eV/f.u. The magnetization is 1.88 μB/cell.

The structure belongs to space group P4/mmm (No. 123); the cell edges are 6.4780, 6.4780 and 6.6642 Å and the angles 90.00°, 90.00° and 90.00°. The distinct sites, in fractional coordinates, are Cs at (0.0000, 0.0000, 0.0000), Rb at (0.0000, 0.5000, 0.5000), Tl at (0.5000, 0.5000, 0.0000) and Pt at (0.0000, 0.0000, 0.5000).


8.
First-principles (PBE-GGA) data for crystalline CsRbZn2Pt at its relaxed geometry, as listed in Alexandria via LeMat-Bulk.

The value obtained for the calculated volume is 162 Å³ per cell. The value obtained for the density is 5.59 g/cm3. As for the raw total energy: -2.135 eV per atom. The magnetization is 0.00 μB/cell.

The structure belongs to space group P4/mmm (No. 123); the cell edges are 5.1463, 5.1463 and 6.1003 Å and the angles 90.00°, 90.00° and 90.00°. The distinct sites, in fractional coordinates, are Cs at (0.0000, 0.0000, 0.0000), Rb at (0.5000, 0.5000, 0.0000), Zn at (0.0000, 0.5000, 0.5000) and Pt at (0.5000, 0.5000, 0.5000).


9.
First-principles (PBE-GGA) data for crystalline Cs2RbZnPt at its relaxed geometry, as listed in Alexandria via LeMat-Bulk.

The value obtained for the calculated volume is 247 Å³ per cell. The value obtained for the density is 4.11 g/cm3. As for the raw total energy: -1.979 eV per atom. The magnetization is 0.00 μB/cell.

The structure belongs to space group P4/mmm (No. 123); the cell edges are 7.0334, 7.0334 and 4.9971 Å and the angles 90.00°, 90.00° and 90.00°. The distinct sites, in fractional coordinates, are Cs at (0.0000, 0.5000, 0.0000), Rb at (0.0000, 0.0000, 0.5000), Zn at (0.5000, 0.5000, 0.5000) and Pt at (0.5000, 0.5000, 0.0000).


10.
First-principles (PBE-GGA) data for crystalline CsRe3Pt at its relaxed geometry, as listed in Alexandria via LeMat-Bulk.

The value obtained for the calculated volume is 111 Å³ per cell. The value obtained for the density is 13.25 g/cm3. Its offset from the most stable computed form is 7.909 eV/f.u. The magnetization is 0.00 μB/cell.

The structure belongs to space group Pm-3m (No. 221); the cell edges are 4.8076, 4.8076 and 4.8076 Å and the angles 90.00°, 90.00° and 90.00°. The distinct sites, in fractional coordinates, are Cs at (0.0000, 0.0000, 0.0000), Re at (0.0000, 0.0000, 0.5000) and Pt at (0.5000, 0.5000, 0.5000).


11.
First-principles (PBE-GGA) data for crystalline CsRe2Pt at its relaxed geometry, as listed in Alexandria via LeMat-Bulk.

The value obtained for the calculated volume is 290 Å³ per cell. The value obtained for the density is 16.07 g/cm3. Its offset from the most stable computed form is 1.964 eV/f.u. The magnetization is 0.00 μB/cell.

The structure belongs to space group Fm-3m (No. 225); the cell edges are 6.6158, 6.6158 and 6.6158 Å and the angles 90.00°, 90.00° and 90.00°. The distinct sites, in fractional coordinates, are Cs at (0.0000, 0.0000, 0.0000), Re at (0.2500, 0.2500, 0.2500) and Pt at (0.0000, 0.0000, 0.5000).


12.
First-principles (PBE-GGA) data for crystalline Cs2RePt at its relaxed geometry, as listed in Alexandria via LeMat-Bulk.

The value obtained for the calculated volume is 823 Å³ per cell. The value obtained for the density is 5.22 g/cm3. Its offset from the most stable computed form is 0.000 eV/f.u. The magnetization is 10.87 μB/cell.

The structure belongs to space group I-42d (No. 122); the cell edges are 12.9928, 12.9928 and 4.8778 Å and the angles 90.00°, 90.00° and 90.00°. The distinct sites, in fractional coordinates, are Cs at (0.0854, 0.2500, 0.1250), Re at (0.0000, 0.0000, 0.5000) and Pt at (0.0000, 0.0000, 0.0000).


> What is the formula in the third record?

Cs2RbTlPt


> Which of these has the lowest calculated volume?

CsRe3Pt